# HoCdHg (PBE, relaxed)
# electronic total energy: -2.2875 eV per atom
# total magnetization: 0.00 μB/atom
data_HoCdHg
_chemical_formula_sum 'Ho1 Cd1 Hg1'
_cell_length_a 4.9402
_cell_length_b 4.9402
_cell_length_c 3.4275
_cell_angle_alpha 90.00
_cell_angle_beta 90.00
_cell_angle_gamma 120.00
_symmetry_space_group_name_H-M 'P -6 m 2'
_symmetry_Int_Tables_number 187
_symmetry_space_group_name_Hall 'P -6 2'
loop_
_atom_site_label
_atom_site_type_symbol
_atom_site_fract_x
_atom_site_fract_y
_atom_site_fract_z
Ho1 Ho 0.0000 0.0000 0.0000
Cd1 Cd 0.3333 0.6667 0.5000
Hg1 Hg 0.6667 0.3333 0.5000